Record 1
Crystalline Hf2CuHgRh at its relaxed geometry. Source: Alexandria, functional PBE.

Structure (CIF):
```
data_Hf2CuHgRh
_cell_length_a 5.170
_cell_length_b 4.569
_cell_length_c 5.170
_cell_angle_alpha 90.00
_cell_angle_beta 90.00
_cell_angle_gamma 90.00
_space_group_name_H-M_alt 'P 1'
_space_group_IT_number 1
loop_
_space_group_symop_operation_xyz
'x,y,z'
loop_
_atom_site_label
_atom_site_type_symbol
_atom_site_fract_x
_atom_site_fract_y
_atom_site_fract_z
Cu1 Cu 0.000 0.500 0.000
Hg1 Hg 0.000 0.000 0.000
Hf1 Hf 0.500 0.000 0.000
Rh1 Rh 0.500 0.500 0.500
Hf2 Hf 0.000 0.000 0.500
```

Computed properties:
Calculated formation energy, meV/atom: 1246

=====

Record 2
Crystalline HfScCuHg at its relaxed geometry. Source: Alexandria, functional PBE.

Structure (CIF):
```
data_HfScCuHg
_cell_length_a 4.798
_cell_length_b 4.798
_cell_length_c 4.798
_cell_angle_alpha 60.00
_cell_angle_beta 60.00
_cell_angle_gamma 60.00
_space_group_name_H-M_alt 'P 1'
_space_group_IT_number 1
loop_
_space_group_symop_operation_xyz
'x,y,z'
loop_
_atom_site_label
_atom_site_type_symbol
_atom_site_fract_x
_atom_site_fract_y
_atom_site_fract_z
Cu1 Cu 0.250 0.250 0.250
Sc1 Sc 0.500 0.500 0.500
Hf1 Hf 0.000 0.000 0.000
Hg1 Hg 0.750 0.750 0.750
```

Computed properties:
Calculated formation energy, meV/atom: -129

=====

Record 3
Crystalline Hf2CuHg2Se6 at its relaxed geometry. Source: Alexandria, functional PBE.

Structure (CIF):
```
data_Hf2CuHg2Se6
_cell_length_a 6.762
_cell_length_b 6.762
_cell_length_c 8.111
_cell_angle_alpha 98.95
_cell_angle_beta 98.95
_cell_angle_gamma 121.83
_space_group_name_H-M_alt 'P 1'
_space_group_IT_number 1
loop_
_space_group_symop_operation_xyz
'x,y,z'
loop_
_atom_site_label
_atom_site_type_symbol
_atom_site_fract_x
_atom_site_fract_y
_atom_site_fract_z
Hf1 Hf 0.351 0.649 0.500
Hg1 Hg 0.687 0.313 0.000
Se1 Se 0.041 0.369 0.677
Se2 Se 0.721 0.721 0.720
Se3 Se 0.959 0.631 0.323
Hf2 Hf 0.649 0.351 0.500
Se4 Se 0.631 0.959 0.323
Hg2 Hg 0.313 0.687 0.000
Se5 Se 0.369 0.041 0.677
Se6 Se 0.279 0.279 0.280
Cu1 Cu 0.000 0.000 0.500
```

Computed properties:
Raw formation energy, eV/atom: -0.677

=====

Record 4
Crystalline HfCu2SiHg at its relaxed geometry. Source: Alexandria, functional PBE.

Structure (CIF):
```
data_HfCu2SiHg
_cell_length_a 4.659
_cell_length_b 5.363
_cell_length_c 4.659
_cell_angle_alpha 90.00
_cell_angle_beta 90.00
_cell_angle_gamma 90.00
_space_group_name_H-M_alt 'P 1'
_space_group_IT_number 1
loop_
_space_group_symop_operation_xyz
'x,y,z'
loop_
_atom_site_label
_atom_site_type_symbol
_atom_site_fract_x
_atom_site_fract_y
_atom_site_fract_z
Cu1 Cu 0.500 0.000 0.000
Si1 Si 0.500 0.500 0.500
Cu2 Cu 0.000 0.000 0.500
Hf1 Hf 0.000 0.500 0.000
Hg1 Hg 0.000 0.000 0.000
```

Computed properties:
Raw formation energy, eV/atom: 1.083

=====

Record 5
Crystalline Hf2CuHg2Te6 at its relaxed geometry. Source: Alexandria, functional PBE.

Structure (CIF):
```
data_Hf2CuHg2Te6
_cell_length_a 7.239
_cell_length_b 7.239
_cell_length_c 8.475
_cell_angle_alpha 98.53
_cell_angle_beta 98.53
_cell_angle_gamma 121.42
_space_group_name_H-M_alt 'P 1'
_space_group_IT_number 1
loop_
_space_group_symop_operation_xyz
'x,y,z'
loop_
_atom_site_label
_atom_site_type_symbol
_atom_site_fract_x
_atom_site_fract_y
_atom_site_fract_z
Hg1 Hg 0.319 0.681 0.000
Te1 Te 0.360 0.031 0.677
Te2 Te 0.282 0.282 0.264
Te3 Te 0.031 0.360 0.677
Cu1 Cu 0.000 0.000 0.500
Hg2 Hg 0.681 0.319 0.000
Te4 Te 0.969 0.640 0.323
Hf1 Hf 0.355 0.645 0.500
Te5 Te 0.718 0.718 0.736
Hf2 Hf 0.645 0.355 0.500
Te6 Te 0.640 0.969 0.323
```

Computed properties:
Raw formation energy, eV/atom: -0.371

=====

Record 6
Crystalline HoHfCu4 at its relaxed geometry. Source: Alexandria, functional PBE.

Structure (CIF):
```
data_HoHfCu4
_cell_length_a 5.128
_cell_length_b 5.128
_cell_length_c 5.128
_cell_angle_alpha 60.00
_cell_angle_beta 60.00
_cell_angle_gamma 60.00
_space_group_name_H-M_alt 'P 1'
_space_group_IT_number 1
loop_
_space_group_symop_operation_xyz
'x,y,z'
loop_
_atom_site_label
_atom_site_type_symbol
_atom_site_fract_x
_atom_site_fract_y
_atom_site_fract_z
Cu1 Cu 0.624 0.127 0.624
Hf1 Hf 0.250 0.250 0.250
Cu2 Cu 0.624 0.624 0.127
Cu3 Cu 0.127 0.624 0.624
Cu4 Cu 0.624 0.624 0.624
Ho1 Ho 0.000 0.000 0.000
```

Computed properties:
Calculated formation energy, meV/atom: -87
ΔE to the lowest computed polymorph, eV/atom: 0.0760

=====

Record 7
Crystalline Ho2HfCu6 at its relaxed geometry. Source: Alexandria, functional PBE.

Structure (CIF):
```
data_Ho2HfCu6
_cell_length_a 3.243
_cell_length_b 7.372
_cell_length_c 7.372
_cell_angle_alpha 120.00
_cell_angle_beta 90.00
_cell_angle_gamma 90.00
_space_group_name_H-M_alt 'P 1'
_space_group_IT_number 1
loop_
_space_group_symop_operation_xyz
'x,y,z'
loop_
_atom_site_label
_atom_site_type_symbol
_atom_site_fract_x
_atom_site_fract_y
_atom_site_fract_z
Cu1 Cu 0.500 0.000 0.329
Cu2 Cu 0.500 0.671 0.000
Cu3 Cu 0.500 0.329 0.329
Cu4 Cu 0.500 0.000 0.671
Ho1 Ho 0.000 0.333 0.667
Ho2 Ho 0.000 0.667 0.333
Cu5 Cu 0.500 0.671 0.671
Hf1 Hf 0.000 0.000 0.000
Cu6 Cu 0.500 0.329 0.000
```

Computed properties:
Calculated formation energy, meV/atom: -187

=====

Record 8
Crystalline Ho2HfCu at its relaxed geometry. Source: Alexandria, functional PBE.

Structure (CIF):
```
data_Ho2HfCu
_cell_length_a 3.352
_cell_length_b 3.352
_cell_length_c 8.287
_cell_angle_alpha 90.00
_cell_angle_beta 90.00
_cell_angle_gamma 90.00
_space_group_name_H-M_alt 'P 1'
_space_group_IT_number 1
loop_
_space_group_symop_operation_xyz
'x,y,z'
loop_
_atom_site_label
_atom_site_type_symbol
_atom_site_fract_x
_atom_site_fract_y
_atom_site_fract_z
Cu1 Cu 0.500 0.500 0.000
Ho1 Ho 0.000 0.000 0.780
Hf1 Hf 0.500 0.500 0.500
Ho2 Ho 0.000 0.000 0.220
```

Computed properties:
Calculated formation energy, meV/atom: -57
ΔE to the lowest computed polymorph, eV/atom: 0.0000

=====

no.,raw total energy (eV for the cell shown)
1,-25.43
2,-21.20
3,-52.96
4,-18.46
5,-47.54
6,-31.44
7,-45.37
8,-23.43